Record 1
Here is a relaxed structure of LaCdCuW2 from Alexandria. Energies are from GGA-PBEsol.

Results
The calculation puts the formation energy from the elements at 1.45 eV per atom. As for the volume: 22.22 Å³/atom. Its density of states at the Fermi level is 5.52 states/eV per cell.

Unit cell a=4.6133 b=4.6133 c=5.2196 alpha=90.00 beta=90.00 gamma=90.00
Space group P4/mmm (No. 123)
Symmetry-distinct sites (fractional):
La (0.0000, 0.0000, 0.0000) [1 per cell]
Cd (0.5000, 0.5000, 0.0000) [1 per cell]
Cu (0.0000, 0.0000, 0.5000) [1 per cell]
W (0.0000, 0.5000, 0.5000) [2 per cell]



Record 2
Here is a relaxed structure of Li2CdCu from Alexandria. Energies are from GGA-PBEsol.

Results
The calculation puts the formation energy from the elements at 0.09 eV per atom. As for the volume: 16.37 Å³/atom. Its density of states at the Fermi level is 5.33 states/eV per cell.

Unit cell a=3.6982 b=3.6982 c=19.1451 alpha=90.00 beta=90.00 gamma=90.00
Space group I-42d (No. 122)
Symmetry-distinct sites (fractional):
Li (0.2368, 0.2500, 0.1250) [8 per cell]
Cd (0.0000, 0.0000, 0.5000) [4 per cell]
Cu (0.0000, 0.0000, 0.0000) [4 per cell]



Record 3
Here is a relaxed structure of LiCdCu from Alexandria. Energies are from GGA-PBEsol.

Results
For the energy above the most stable polymorph in this dataset, the calculation gives 0.003 eV per atom. The calculation puts the formation energy from the elements at -0.07 eV per atom. As for the volume: 14.89 Å³/atom. Its density of states at the Fermi level is 1.81 states/eV per cell.

Unit cell a=2.8278 b=3.7682 c=8.3849 alpha=90.00 beta=90.00 gamma=90.00
Space group Imm2 (No. 44)
Symmetry-distinct sites (fractional):
Li (0.0000, 0.0000, 0.0000) [2 per cell]
Cd (0.0000, 0.0000, 0.6767) [2 per cell]
Cu (0.0000, 0.0000, 0.3451) [2 per cell]